[1]
# Zn2AsOs GGA-PBE optimized geometry
data_Zn2AsOs
_chemical_formula_sum 'Zn6 As3 Os3'
_cell_length_a 2.8886
_cell_length_b 2.8886
_cell_length_c 25.8881
_cell_angle_alpha 90.00
_cell_angle_beta 90.00
_cell_angle_gamma 120.00
_space_group_name_H-M_alt 'R -3 m'
_space_group_IT_number 166
_space_group_name_Hall '-R 3 2"'
loop_
_atom_site_label
_atom_site_fract_x
_atom_site_fract_y
_atom_site_fract_z
Zn1 0.0000 0.0000 0.2465
As1 0.0000 0.0000 0.0000
Os1 0.0000 0.0000 0.5000
# calculated formation energy	0.2936	eV per atom
# total moment	0.000	μB/atom

[2]
# Zn2AsOs GGA-PBE optimized geometry
data_Zn2AsOs
_chemical_formula_sum 'Zn2 As1 Os1'
_cell_length_a 2.944
_cell_length_b 2.944
_cell_length_c 7.847
_cell_angle_alpha 90.00
_cell_angle_beta 90.00
_cell_angle_gamma 90.00
_space_group_name_H-M_alt 'P 4 m m'
_space_group_IT_number 99
_space_group_name_Hall 'P 4 -2'
loop_
_atom_site_label
_atom_site_fract_x
_atom_site_fract_y
_atom_site_fract_z
Zn1 0.000 0.000 0.000
Zn2 0.500 0.500 0.240
As1 0.000 0.000 0.591
Os1 0.500 0.500 0.776
# calculated formation energy	0.1663	eV per atom
# total moment	0.000	μB/atom

[3]
# ZnAs2Os GGA-PBE optimized geometry
data_ZnAs2Os
_chemical_formula_sum 'Zn2 As4 Os2'
_cell_length_a 3.181
_cell_length_b 4.714
_cell_length_c 8.707
_cell_angle_alpha 90.00
_cell_angle_beta 90.00
_cell_angle_gamma 90.00
_space_group_name_H-M_alt 'I m m 2'
_space_group_IT_number 44
_space_group_name_Hall 'I 2 -2'
loop_
_atom_site_label
_atom_site_fract_x
_atom_site_fract_y
_atom_site_fract_z
Zn1 0.000 0.000 0.000
As1 0.000 0.000 0.523
As2 0.000 0.500 0.758
Os1 0.000 0.500 0.242
# calculated formation energy	0.4412	eV per atom
# total moment	0.000	μB/atom

[4]
# ZnAsOs GGA-PBE optimized geometry
data_ZnAsOs
_chemical_formula_sum 'Zn2 As2 Os2'
_cell_length_a 3.079
_cell_length_b 3.494
_cell_length_c 8.407
_cell_angle_alpha 90.00
_cell_angle_beta 90.00
_cell_angle_gamma 90.00
_space_group_name_H-M_alt 'I m m 2'
_space_group_IT_number 44
_space_group_name_Hall 'I 2 -2'
loop_
_atom_site_label
_atom_site_fract_x
_atom_site_fract_y
_atom_site_fract_z
Zn1 0.000 0.000 0.000
As1 0.000 0.000 0.687
Os1 0.000 0.000 0.321
# calculated formation energy	0.2341	eV per atom
# total moment	0.000	μB/atom
# energy relative to the lowest polymorph listed for this composition	0.080	eV per atom